1.
{
  "formula": "La2Zn2FeGe4",
  "functional": "PBE-GGA",
  "state": "optimized geometry",
  "lattice": [[6.314, -0.071, -0.103], [-3.093, 5.505, 0.103], [-3.093, -1.838, 5.190]],
  "species": ["Ge", "Ge", "Ge", "Ge", "La", "La", "Zn", "Zn", "Fe"],
  "frac_coords": [[0.000, 0.277, 0.723], [0.446, 0.723, 0.723], [0.000, 0.723, 0.277], [0.554, 0.277, 0.277], [0.500, 0.750, 0.250], [0.500, 0.250, 0.750], [0.000, 0.713, 0.713], [0.000, 0.287, 0.287], [0.000, 0.000, 0.000]],
  "energy_ev_per_atom": -4.82,
  "volume_a3_per_cell": 178.2,
  "crystal_system": "tetragonal",
  "delta_e_f_ev_per_atom": -0.45
}

***

2.
{
  "formula": "LaSmSn2",
  "functional": "PBE-GGA",
  "state": "optimized geometry",
  "lattice": [[-0.802, 4.481, 0.185], [-4.818, -0.911, 1.176], [1.194, 0.012, 4.899]],
  "species": ["Sm", "La", "Sn", "Sn"],
  "frac_coords": [[0.500, 0.500, 0.500], [0.500, 0.000, 0.000], [0.000, 0.000, 0.500], [0.000, 0.500, 0.000]],
  "energy_ev_per_atom": -5.10,
  "volume_a3_per_cell": 115.9,
  "crystal_system": "tetragonal",
  "delta_e_f_ev_per_atom": -0.69
}

***

3.
{
  "formula": "La2Ho3Pb4",
  "functional": "PBE-GGA",
  "state": "optimized geometry",
  "lattice": [[-5.271, -3.656, -5.238], [7.814, 0.495, -3.335], [1.910, -7.558, 3.354]],
  "species": ["Pb", "Pb", "Pb", "Pb", "Pb", "Pb", "Pb", "Pb", "La", "La", "La", "La", "Ho", "Ho", "Ho", "Ho", "Ho", "Ho"],
  "frac_coords": [[0.163, 0.913, 0.457], [0.663, 0.913, 0.043], [0.337, 0.087, 0.957], [0.640, 0.506, 0.640], [0.860, 0.494, 0.140], [0.360, 0.494, 0.360], [0.837, 0.087, 0.543], [0.140, 0.506, 0.860], [0.558, 0.192, 0.321], [0.942, 0.808, 0.821], [0.058, 0.192, 0.179], [0.442, 0.808, 0.679], [0.741, 0.247, 0.841], [0.000, 0.500, 0.500], [0.759, 0.753, 0.341], [0.500, 0.500, 0.000], [0.241, 0.247, 0.659], [0.259, 0.753, 0.159]],
  "energy_ev_per_atom": -4.88,
  "volume_a3_per_cell": 557.5,
  "crystal_system": "monoclinic",
  "delta_e_f_ev_per_atom": -0.62
}

***

4.
{
  "formula": "CdBr",
  "functional": "PBE-GGA",
  "state": "optimized geometry",
  "lattice": [[3.761, 0.000, 0.000], [0.000, 3.761, 0.000], [0.000, 0.000, 3.761]],
  "species": ["Br", "Cd"],
  "frac_coords": [[0.000, 0.000, 0.000], [0.500, 0.500, 0.500]],
  "energy_ev_per_atom": -1.48,
  "volume_a3_per_cell": 53.2,
  "crystal_system": "cubic",
  "raw_formation_energy_kj_per_mol_atoms": -17.8
}

***

5.
{
  "formula": "Sm2BeGa4Au3",
  "functional": "PBE-GGA",
  "state": "optimized geometry",
  "lattice": [[4.235, 0.000, 0.000], [0.000, 4.235, 0.000], [0.000, 0.000, 10.941]],
  "species": ["Sm", "Sm", "Ga", "Ga", "Ga", "Ga", "Au", "Au", "Au", "Be"],
  "frac_coords": [[0.000, 0.500, 0.737], [0.500, 0.000, 0.263], [0.500, 0.500, 0.000], [0.000, 0.500, 0.373], [0.500, 0.000, 0.627], [0.000, 0.000, 0.000], [0.000, 0.500, 0.142], [0.000, 0.000, 0.500], [0.500, 0.000, 0.858], [0.500, 0.500, 0.500]],
  "energy_ev_per_atom": -4.06,
  "volume_a3_per_cell": 196.2,
  "crystal_system": "tetragonal",
  "delta_e_f_ev_per_atom": -0.54
}

***

6.
{
  "formula": "Be2PdPbO",
  "functional": "PBE-GGA",
  "state": "optimized geometry",
  "lattice": [[4.545, 0.000, 0.000], [0.000, 5.288, 0.000], [0.000, 0.000, 4.545]],
  "species": ["Pb", "Pd", "O", "Be", "Be"],
  "frac_coords": [[0.000, 0.000, 0.000], [0.000, 0.500, 0.000], [0.500, 0.500, 0.500], [0.000, 0.000, 0.500], [0.500, 0.000, 0.000]],
  "energy_ev_per_atom": -2.87,
  "volume_a3_per_cell": 109.2,
  "crystal_system": "tetragonal",
  "raw_formation_energy_kj_per_mol_atoms": 134.1
}